Density functional theory data (PBE) for a relaxed structure of GdPaNiOs.

raw total energy	-10.359	eV/atom
formation energy	-212	meV/atom
symmetry	F-43m, No. 216
crystal system	cubic

Structure (extended XYZ):
```
4
Lattice="-1.209 -4.676 0.260 0.449 -2.834 -3.893 3.439 -3.398 -0.134" Properties=species:S:1:pos:R:3 pbc="T T T"
Gd 1.339 -5.454 -1.884
Ni 2.009 -8.181 -2.826
Pa 0.000 0.000 0.000
Os 0.670 -2.727 -0.942
```

Density functional theory data (PBE) for a relaxed structure of PmGdNiOs.

raw total energy	-9.124	eV/atom
formation energy	-163	meV/atom
symmetry	F-43m, No. 216
crystal system	cubic

Structure (extended XYZ):
```
4
Lattice="-0.156 -0.730 4.834 -1.082 -4.429 1.771 3.465 -2.675 2.183" Properties=species:S:1:pos:R:3 pbc="T T T"
Ni 0.557 -1.958 2.197
Gd 1.114 -3.917 4.394
Os 1.670 -5.875 6.591
Pm 0.000 0.000 0.000
```

Density functional theory data (PBE) for a relaxed structure of PrGdNiOs.

raw total energy	-9.074	eV/atom
formation energy	-106	meV/atom
symmetry	F-43m, No. 216
crystal system	cubic

Structure (extended XYZ):
```
4
Lattice="-3.588 3.234 0.986 -4.481 -0.616 -1.961 -3.786 -1.318 2.869" Properties=species:S:1:pos:R:3 pbc="T T T"
Pr -8.891 0.975 1.420
Ni 0.000 0.000 0.000
Gd -2.964 0.325 0.473
Os -5.927 0.650 0.947
```

Density functional theory data (PBE) for a relaxed structure of GdScNiOs.

raw total energy	-9.674	eV/atom
formation energy	-318	meV/atom
symmetry	F-43m, No. 216
crystal system	cubic

Structure (extended XYZ):
```
4
Lattice="4.687 0.000 0.000 2.344 4.059 0.000 2.344 1.353 3.827" Properties=species:S:1:pos:R:3 pbc="T T T"
Sc 4.687 2.706 1.914
Ni 2.344 1.353 0.957
Gd 0.000 0.000 0.000
Os 7.031 4.059 2.870
```

Density functional theory data (PBE) for a relaxed structure of TbGdNiOs.

raw total energy	-9.175	eV/atom
formation energy	-245	meV/atom
symmetry	F-43m, No. 216
crystal system	cubic

Structure (extended XYZ):
```
4
Lattice="4.835 0.000 0.000 2.417 4.187 0.000 2.417 1.396 3.948" Properties=species:S:1:pos:R:3 pbc="T T T"
Tb 4.835 2.791 1.974
Gd 0.000 0.000 0.000
Os 2.417 1.396 0.987
Ni 7.252 4.187 2.961
```

Density functional theory data (PBE) for a relaxed structure of GdThNiOs.

raw total energy	-9.896	eV/atom
formation energy	-268	meV/atom
symmetry	F-43m, No. 216
crystal system	cubic

Structure (extended XYZ):
```
4
Lattice="4.931 0.000 0.000 2.465 4.270 0.000 2.465 1.423 4.026" Properties=species:S:1:pos:R:3 pbc="T T T"
Ni 2.465 1.423 1.006
Gd 4.931 2.847 2.013
Os 7.396 4.270 3.019
Th 0.000 0.000 0.000
```

Density functional theory data (PBE) for a relaxed structure of GdTmNiOs.

raw total energy	-9.189	eV/atom
formation energy	-298	meV/atom
symmetry	F-43m, No. 216
crystal system	cubic

Structure (extended XYZ):
```
4
Lattice="4.790 0.000 0.000 2.395 4.149 0.000 2.395 1.383 3.911" Properties=species:S:1:pos:R:3 pbc="T T T"
Gd 0.000 0.000 0.000
Ni 2.395 1.383 0.978
Tm 4.790 2.766 1.956
Os 7.186 4.149 2.934
```

Density functional theory data (PBE) for a relaxed structure of GdYNiOs.

raw total energy	-9.630	eV/atom
formation energy	-241	meV/atom
symmetry	F-43m, No. 216
crystal system	cubic

Structure (extended XYZ):
```
4
Lattice="-4.147 1.282 -2.125 -0.519 -0.492 -4.780 -2.955 -3.389 -1.774" Properties=species:S:1:pos:R:3 pbc="T T T"
Y -5.716 -1.949 -6.509
Ni 0.000 0.000 0.000
Gd -1.905 -0.650 -2.170
Os -3.811 -1.299 -4.339
```

Density functional theory data (PBE) for a relaxed structure of GdNi2P2.

raw total energy	-8.306	eV/atom
formation energy	-1014	meV/atom
symmetry	I4/mmm, No. 139
crystal system	tetragonal

Structure (extended XYZ):
```
5
Lattice="-2.325 -3.136 0.048 1.779 -1.272 3.233 -2.839 4.556 0.993" Properties=species:S:1:pos:R:3 pbc="T T T"
Ni -0.667 0.539 2.933
Ni -2.717 -0.391 1.342
Gd 0.000 0.000 0.000
P -1.045 -1.621 2.296
P -2.339 1.770 1.979
```

Density functional theory data (PBE) for a relaxed structure of GdPa2Ni.

raw total energy	-9.638	eV/atom
formation energy	75	meV/atom
symmetry	R-3m, No. 166
crystal system	trigonal

Structure (extended XYZ):
```
4
Lattice="3.433 0.000 0.000 1.717 2.973 0.000 1.717 0.991 9.408" Properties=species:S:1:pos:R:3 pbc="T T T"
Gd 3.433 1.982 4.704
Ni 0.000 0.000 0.000
Pa 1.717 0.991 1.879
Pa 5.150 2.973 7.529
```

Density functional theory data (PBE) for a relaxed structure of GdPaNiPt.

raw total energy	-9.391	eV/atom
formation energy	-541	meV/atom
symmetry	F-43m, No. 216
crystal system	cubic

Structure (extended XYZ):
```
4
Lattice="4.905 0.000 0.000 2.453 4.248 0.000 2.453 1.416 4.005" Properties=species:S:1:pos:R:3 pbc="T T T"
Gd 4.905 2.832 2.003
Ni 2.453 1.416 1.001
Pa 0.000 0.000 0.000
Pt 7.358 4.248 3.004
```

Density functional theory data (PBE) for a relaxed structure of GdPaNiRh.

raw total energy	-9.595	eV/atom
formation energy	-417	meV/atom
symmetry	F-43m, No. 216
crystal system	cubic

Structure (extended XYZ):
```
4
Lattice="4.845 0.000 0.000 2.422 4.196 0.000 2.422 1.399 3.956" Properties=species:S:1:pos:R:3 pbc="T T T"
Gd 4.845 2.797 1.978
Ni 2.422 1.399 0.989
Pa 0.000 0.000 0.000
Rh 7.267 4.196 2.967
```

Density functional theory data (PBE) for a relaxed structure of GdPaNiRu.

raw total energy	-9.929	eV/atom
formation energy	-271	meV/atom
symmetry	F-43m, No. 216
crystal system	cubic

Structure (extended XYZ):
```
4
Lattice="-4.809 0.125 -0.350 -2.683 -3.126 2.509 -2.650 1.542 3.723" Properties=species:S:1:pos:R:3 pbc="T T T"
Gd 0.000 0.000 0.000
Ru -7.606 -1.094 4.412
Pa -5.071 -0.730 2.941
Ni -2.535 -0.365 1.471
```

Density functional theory data (PBE) for a relaxed structure of GdNiPb.

raw total energy	-8.221	eV/atom
formation energy	-364	meV/atom
symmetry	P-6m2, No. 187
crystal system	hexagonal

Structure (extended XYZ):
```
3
Lattice="-0.091 -3.442 1.285 3.351 1.027 2.988 -4.410 0.566 1.202" Properties=species:S:1:pos:R:3 pbc="T T T"
Pb -1.838 0.147 2.011
Ni -0.015 -0.575 0.215
Gd 0.703 -1.420 3.249
```

Density functional theory data (PBE) for a relaxed structure of GdNiPb.

raw total energy	-8.275	eV/atom
formation energy	-418	meV/atom
symmetry	Pnma, No. 62
crystal system	orthorhombic

Structure (extended XYZ):
```
12
Lattice="4.604 0.000 0.000 0.000 7.303 0.000 0.000 0.000 7.854" Properties=species:S:1:pos:R:3 pbc="T T T"
Gd 1.151 3.758 1.574
Gd 3.453 3.545 6.280
Gd 3.453 7.197 5.501
Gd 1.151 0.107 2.353
Ni 1.151 5.767 7.198
Ni 3.453 1.537 0.656
Ni 3.453 5.188 3.271
Ni 1.151 2.115 4.583
Pb 1.151 5.016 4.610
Pb 3.453 2.287 3.244
Pb 3.453 5.939 0.683
Pb 1.151 1.364 7.172
```

Density functional theory data (PBE) for a relaxed structure of GdNiPdPb.

raw total energy	-7.620	eV/atom
formation energy	-429	meV/atom
symmetry	F-43m, No. 216
crystal system	cubic

Structure (extended XYZ):
```
4
Lattice="-1.736 4.297 1.312 -4.608 0.431 1.335 -1.102 0.846 4.612" Properties=species:S:1:pos:R:3 pbc="T T T"
Pb -3.723 2.787 3.630
Ni -1.861 1.394 1.815
Gd 0.000 0.000 0.000
Pd -5.584 4.181 5.445
```

Density functional theory data (PBE) for a relaxed structure of PmGdNiPb.

raw total energy	-7.366	eV/atom
formation energy	-285	meV/atom
symmetry	F-43m, No. 216
crystal system	cubic

Structure (extended XYZ):
```
4
Lattice="-0.032 -4.789 2.136 4.268 -3.033 -0.298 2.833 -0.970 4.305" Properties=species:S:1:pos:R:3 pbc="T T T"
Pb 5.301 -6.595 4.607
Ni 1.767 -2.198 1.536
Gd 3.534 -4.396 3.071
Pm 0.000 0.000 0.000
```

Density functional theory data (PBE) for a relaxed structure of GdNiPtPb.

raw total energy	-7.863	eV/atom
formation energy	-461	meV/atom
symmetry	F-43m, No. 216
crystal system	cubic

Structure (extended XYZ):
```
4
Lattice="-0.944 4.568 -1.260 -1.819 3.077 3.252 2.734 3.595 1.718" Properties=species:S:1:pos:R:3 pbc="T T T"
Pb -0.014 5.620 1.855
Ni -0.022 8.430 2.782
Gd 0.000 0.000 0.000
Pt -0.007 2.810 0.927
```

Density functional theory data (PBE) for a relaxed structure of GdNiRhPb.

raw total energy	-8.081	eV/atom
formation energy	-351	meV/atom
symmetry	F-43m, No. 216
crystal system	cubic

Structure (extended XYZ):
```
4
Lattice="4.758 0.000 0.000 2.379 4.121 0.000 2.379 1.374 3.885" Properties=species:S:1:pos:R:3 pbc="T T T"
Pb 4.758 2.747 1.942
Ni 2.379 1.374 0.971
Gd 0.000 0.000 0.000
Rh 7.137 4.121 2.914
```

Density functional theory data (PBE) for a relaxed structure of GdTmNiPb.

raw total energy	-7.314	eV/atom
formation energy	-303	meV/atom
symmetry	F-43m, No. 216
crystal system	cubic

Structure (extended XYZ):
```
4
Lattice="5.141 0.000 0.000 2.571 4.453 0.000 2.571 1.484 4.198" Properties=species:S:1:pos:R:3 pbc="T T T"
Pb 7.712 4.453 3.148
Ni 2.571 1.484 1.049
Gd 0.000 0.000 0.000
Tm 5.141 2.968 2.099
```